(one)
# PBE BeHgAsIr, optimized geometry
data_BeHgAsIr
_chemical_formula_sum 'Be4 Hg4 As4 Ir4'
_symmetry_space_group_name_H-M 'F -4 3 m'
_symmetry_Int_Tables_number 216
_symmetry_space_group_name_Hall 'F -4 2 3'
_cell_length_a 6.325
_cell_length_b 6.325
_cell_length_c 6.325
_cell_angle_alpha 90.00
_cell_angle_beta 90.00
_cell_angle_gamma 90.00
loop_
_atom_site_label
_atom_site_fract_x
_atom_site_fract_y
_atom_site_fract_z
Be1 0.000 0.000 0.000
Hg1 0.250 0.250 0.250
As1 0.000 0.000 0.500
Ir1 0.250 0.250 0.750
# size of the total moment	0.0	Bohr magnetons per cell

(two)
# PBE BeHgAsIr, optimized geometry
data_BeHgAsIr
_chemical_formula_sum 'Be4 Hg4 As4 Ir4'
_symmetry_space_group_name_H-M 'F -4 3 m'
_symmetry_Int_Tables_number 216
_symmetry_space_group_name_Hall 'F -4 2 3'
_cell_length_a 6.373
_cell_length_b 6.373
_cell_length_c 6.373
_cell_angle_alpha 90.00
_cell_angle_beta 90.00
_cell_angle_gamma 90.00
loop_
_atom_site_label
_atom_site_fract_x
_atom_site_fract_y
_atom_site_fract_z
Be1 0.000 0.000 0.000
Hg1 0.250 0.250 0.250
As1 0.250 0.250 0.750
Ir1 0.000 0.000 0.500
# size of the total moment	0.0	Bohr magnetons per cell

Relative calculated energies, zero for the most stable structure, unit eV/atom: (one) 0.000; (two) 0.067.

(one)
# PBE BeNiHgAs, optimized geometry
data_BeNiHgAs
_chemical_formula_sum 'Be4 Ni4 Hg4 As4'
_symmetry_space_group_name_H-M 'F -4 3 m'
_symmetry_Int_Tables_number 216
_symmetry_space_group_name_Hall 'F -4 2 3'
_cell_length_a 6.278
_cell_length_b 6.278
_cell_length_c 6.278
_cell_angle_alpha 90.00
_cell_angle_beta 90.00
_cell_angle_gamma 90.00
loop_
_atom_site_label
_atom_site_fract_x
_atom_site_fract_y
_atom_site_fract_z
Be1 0.000 0.000 0.000
Ni1 0.250 0.250 0.750
Hg1 0.250 0.250 0.250
As1 0.000 0.000 0.500
# size of the total moment	0.2	Bohr magnetons per cell

(two)
# PBE BeNiHgAs, optimized geometry
data_BeNiHgAs
_chemical_formula_sum 'Be4 Ni4 Hg4 As4'
_symmetry_space_group_name_H-M 'F -4 3 m'
_symmetry_Int_Tables_number 216
_symmetry_space_group_name_Hall 'F -4 2 3'
_cell_length_a 6.233
_cell_length_b 6.233
_cell_length_c 6.233
_cell_angle_alpha 90.00
_cell_angle_beta 90.00
_cell_angle_gamma 90.00
loop_
_atom_site_label
_atom_site_fract_x
_atom_site_fract_y
_atom_site_fract_z
Be1 0.000 0.000 0.000
Ni1 0.000 0.000 0.500
Hg1 0.250 0.250 0.750
As1 0.250 0.250 0.250
# size of the total moment	0.1	Bohr magnetons per cell

Relative calculated energies, zero for the most stable structure, unit eV/atom: (one) 0.138; (two) 0.000.

(one)
# PBE MgBeAsIr, optimized geometry
data_MgBeAsIr
_chemical_formula_sum 'Mg4 Be4 As4 Ir4'
_symmetry_space_group_name_H-M 'F -4 3 m'
_symmetry_Int_Tables_number 216
_symmetry_space_group_name_Hall 'F -4 2 3'
_cell_length_a 6.090
_cell_length_b 6.090
_cell_length_c 6.090
_cell_angle_alpha 90.00
_cell_angle_beta 90.00
_cell_angle_gamma 90.00
loop_
_atom_site_label
_atom_site_fract_x
_atom_site_fract_y
_atom_site_fract_z
Mg1 0.000 0.000 0.000
Be1 0.250 0.250 0.750
As1 0.250 0.250 0.250
Ir1 0.000 0.000 0.500
# size of the total moment	0.0	Bohr magnetons per cell

(two)
# PBE MgBeAsIr, optimized geometry
data_MgBeAsIr
_chemical_formula_sum 'Mg4 Be4 As4 Ir4'
_symmetry_space_group_name_H-M 'F -4 3 m'
_symmetry_Int_Tables_number 216
_symmetry_space_group_name_Hall 'F -4 2 3'
_cell_length_a 6.157
_cell_length_b 6.157
_cell_length_c 6.157
_cell_angle_alpha 90.00
_cell_angle_beta 90.00
_cell_angle_gamma 90.00
loop_
_atom_site_label
_atom_site_fract_x
_atom_site_fract_y
_atom_site_fract_z
Mg1 0.000 0.000 0.000
Be1 0.000 0.000 0.500
As1 0.250 0.250 0.750
Ir1 0.250 0.250 0.250
# size of the total moment	0.0	Bohr magnetons per cell

Relative calculated energies, zero for the most stable structure, unit eV/atom: (one) 0.000; (two) 0.181.

(one)
This record from OQMD via LeMat-Bulk describes crystalline KBeAsPd at its relaxed geometry. The functional is PBE.

Structure (CIF):
```
data_KBeAsPd
_chemical_formula_sum 'K4 Be4 As4 Pd4'
_symmetry_space_group_name_H-M 'F -4 3 m'
_symmetry_Int_Tables_number 216
_symmetry_space_group_name_Hall 'F -4 2 3'
_cell_length_a 6.686
_cell_length_b 6.686
_cell_length_c 6.686
_cell_angle_alpha 90.00
_cell_angle_beta 90.00
_cell_angle_gamma 90.00
loop_
_atom_site_label
_atom_site_fract_x
_atom_site_fract_y
_atom_site_fract_z
K1 0.000 0.000 0.000
Be1 0.000 0.000 0.500
As1 0.250 0.250 0.250
Pd1 0.250 0.250 0.750
```

(two)
This record from OQMD via LeMat-Bulk describes crystalline KBeAsPd at its relaxed geometry. The functional is PBE.

Structure (CIF):
```
data_KBeAsPd
_chemical_formula_sum 'K4 Be4 As4 Pd4'
_symmetry_space_group_name_H-M 'F -4 3 m'
_symmetry_Int_Tables_number 216
_symmetry_space_group_name_Hall 'F -4 2 3'
_cell_length_a 6.576
_cell_length_b 6.576
_cell_length_c 6.576
_cell_angle_alpha 90.00
_cell_angle_beta 90.00
_cell_angle_gamma 90.00
loop_
_atom_site_label
_atom_site_fract_x
_atom_site_fract_y
_atom_site_fract_z
K1 0.000 0.000 0.000
Be1 0.250 0.250 0.250
As1 0.250 0.250 0.750
Pd1 0.000 0.000 0.500
```

Relative calculated energies, zero for the most stable structure, unit eV/atom: (one) 0.094; (two) 0.000.

(one)
# PBE KBeAsPt, optimized geometry
data_KBeAsPt
_chemical_formula_sum 'K4 Be4 As4 Pt4'
_symmetry_space_group_name_H-M 'F -4 3 m'
_symmetry_Int_Tables_number 216
_symmetry_space_group_name_Hall 'F -4 2 3'
_cell_length_a 6.657
_cell_length_b 6.657
_cell_length_c 6.657
_cell_angle_alpha 90.00
_cell_angle_beta 90.00
_cell_angle_gamma 90.00
loop_
_atom_site_label
_atom_site_fract_x
_atom_site_fract_y
_atom_site_fract_z
K1 0.000 0.000 0.000
Be1 0.000 0.000 0.500
As1 0.250 0.250 0.250
Pt1 0.250 0.250 0.750
# size of the total moment	0.0	Bohr magnetons per cell

(two)
# PBE KBeAsPt, optimized geometry
data_KBeAsPt
_chemical_formula_sum 'K4 Be4 As4 Pt4'
_symmetry_space_group_name_H-M 'F -4 3 m'
_symmetry_Int_Tables_number 216
_symmetry_space_group_name_Hall 'F -4 2 3'
_cell_length_a 6.513
_cell_length_b 6.513
_cell_length_c 6.513
_cell_angle_alpha 90.00
_cell_angle_beta 90.00
_cell_angle_gamma 90.00
loop_
_atom_site_label
_atom_site_fract_x
_atom_site_fract_y
_atom_site_fract_z
K1 0.000 0.000 0.000
Be1 0.250 0.250 0.250
As1 0.250 0.250 0.750
Pt1 0.000 0.000 0.500
# size of the total moment	0.0	Bohr magnetons per cell

Relative calculated energies, zero for the most stable structure, unit eV/atom: (one) 0.254; (two) 0.000.

(one)
# PBE LiBeAsPt, optimized geometry
data_LiBeAsPt
_chemical_formula_sum 'Li4 Be4 As4 Pt4'
_symmetry_space_group_name_H-M 'F -4 3 m'
_symmetry_Int_Tables_number 216
_symmetry_space_group_name_Hall 'F -4 2 3'
_cell_length_a 5.958
_cell_length_b 5.958
_cell_length_c 5.958
_cell_angle_alpha 90.00
_cell_angle_beta 90.00
_cell_angle_gamma 90.00
loop_
_atom_site_label
_atom_site_fract_x
_atom_site_fract_y
_atom_site_fract_z
Li1 0.000 0.000 0.000
Be1 0.250 0.250 0.750
As1 0.250 0.250 0.250
Pt1 0.000 0.000 0.500
# size of the total moment	0.0	Bohr magnetons per cell

(two)
# PBE LiBeAsPt, optimized geometry
data_LiBeAsPt
_chemical_formula_sum 'Li4 Be4 As4 Pt4'
_symmetry_space_group_name_H-M 'F -4 3 m'
_symmetry_Int_Tables_number 216
_symmetry_space_group_name_Hall 'F -4 2 3'
_cell_length_a 5.929
_cell_length_b 5.929
_cell_length_c 5.929
_cell_angle_alpha 90.00
_cell_angle_beta 90.00
_cell_angle_gamma 90.00
loop_
_atom_site_label
_atom_site_fract_x
_atom_site_fract_y
_atom_site_fract_z
Li1 0.000 0.000 0.000
Be1 0.000 0.000 0.500
As1 0.250 0.250 0.750
Pt1 0.250 0.250 0.250
# size of the total moment	0.0	Bohr magnetons per cell

Relative calculated energies, zero for the most stable structure, unit eV/atom: (one) 0.000; (two) 0.092.